No. 1
DFT (PBE) results for an optimized crystal structure of RbGaF3.

Unit cell a=8.584 b=8.584 c=8.584 alpha=142.54 beta=142.54 gamma=54.01
Sites, in units of the cell vectors:
Rb  0.107  0.107  0.000
Rb  0.893  0.893  0.000
Ga  0.500  0.500  0.000
Ga  0.750  0.250  0.500
F  0.315  0.573  0.742
F  0.427  0.169  0.742
F  0.427  0.685  0.258
F  0.616  0.116  0.500
F  0.831  0.573  0.258
F  0.884  0.384  0.500

Properties
Total magnetization, μB/atom: 0.000
SG: I-4m2
Uncorrected formation energy, eV per atom: -2.277
VASP energy, eV per cell: -41.98
D(E_F), states/eV per cell: 0.000

---

No. 2
DFT (PBE) results for an optimized crystal structure of PrZnIr.

Unit cell a=5.328 b=8.159 c=6.540 alpha=90.00 beta=90.00 gamma=90.00
Sites, in units of the cell vectors:
Pr  0.000  0.000  0.000
Pr  0.000  0.500  0.000
Pr  0.500  0.000  0.500
Pr  0.500  0.500  0.500
Zn  0.000  0.250  0.407
Zn  0.000  0.750  0.593
Zn  0.500  0.250  0.093
Zn  0.500  0.750  0.907
Ir  0.250  0.250  0.750
Ir  0.250  0.750  0.250
Ir  0.750  0.250  0.750
Ir  0.750  0.750  0.250

Properties
Total magnetization, μB/atom: 0.000
SG: Imma
Formation enthalpy at 0 K, eV/atom: -0.34
VASP energy, eV per cell: -63.75
D(E_F), states/eV per cell: 9.533